No. 1
# GGA-PBEsol Sc2AlC, relaxed
data_Sc2AlC
_chemical_formula_sum 'Sc4 Al2 C2'
_cell_length_a 3.2628
_cell_length_b 3.2628
_cell_length_c 14.9458
_cell_angle_alpha 90.00
_cell_angle_beta 90.00
_cell_angle_gamma 120.00
_symmetry_space_group_name_H-M 'P 63/m m c'
_symmetry_Int_Tables_number 194
_symmetry_space_group_name_Hall '-P 6c 2c'
loop_
_atom_site_label
_atom_site_type_symbol
_atom_site_fract_x
_atom_site_fract_y
_atom_site_fract_z
_atom_site_occupancy
Sc1 Sc 0.3333 0.6667 0.0826 1
Al1 Al 0.3333 0.6667 0.7500 1
C1 C 0.0000 0.0000 0.0000 1
# Magnetic moment (Bohr magnetons per cell): 0.00
# ΔE_f (eV per atom): -0.4571


No. 2
# GGA-PBEsol Al2CSe, relaxed
data_Al2CSe
_chemical_formula_sum 'Al8 C4 Se4'
_cell_length_a 5.1795
_cell_length_b 5.1795
_cell_length_c 9.7914
_cell_angle_alpha 90.00
_cell_angle_beta 90.00
_cell_angle_gamma 90.00
_symmetry_space_group_name_H-M 'I -4 2 d'
_symmetry_Int_Tables_number 122
_symmetry_space_group_name_Hall 'I -4 2bw'
loop_
_atom_site_label
_atom_site_type_symbol
_atom_site_fract_x
_atom_site_fract_y
_atom_site_fract_z
_atom_site_occupancy
Al1 Al 0.1603 0.2500 0.1250 1
C1 C 0.0000 0.0000 0.0000 1
Se1 Se 0.0000 0.0000 0.5000 1
# Magnetic moment (Bohr magnetons per cell): 0.00
# Energy relative to the elements, uncorrected (eV per atom): -0.4172


No. 3
# GGA-PBEsol Al3CSe, relaxed
data_Al3CSe
_chemical_formula_sum 'Al3 C1 Se1'
_cell_length_a 4.8358
_cell_length_b 4.8358
_cell_length_c 4.8358
_cell_angle_alpha 90.00
_cell_angle_beta 90.00
_cell_angle_gamma 90.00
_symmetry_space_group_name_H-M 'P m -3 m'
_symmetry_Int_Tables_number 221
_symmetry_space_group_name_Hall '-P 4 2 3'
loop_
_atom_site_label
_atom_site_type_symbol
_atom_site_fract_x
_atom_site_fract_y
_atom_site_fract_z
_atom_site_occupancy
Al1 Al 0.0000 0.0000 0.5000 1
C1 C 0.5000 0.5000 0.5000 1
Se1 Se 0.0000 0.0000 0.0000 1
# Magnetic moment (Bohr magnetons per cell): 0.00
# Energy relative to the elements, uncorrected (eV per atom): 1.9025


No. 4
# GGA-PBEsol AlSiC2, relaxed
data_AlSiC2
_chemical_formula_sum 'Al4 Si4 C8'
_cell_length_a 5.3067
_cell_length_b 5.3067
_cell_length_c 5.3067
_cell_angle_alpha 90.00
_cell_angle_beta 90.00
_cell_angle_gamma 90.00
_symmetry_space_group_name_H-M 'F m -3 m'
_symmetry_Int_Tables_number 225
_symmetry_space_group_name_Hall '-F 4 2 3'
loop_
_atom_site_label
_atom_site_type_symbol
_atom_site_fract_x
_atom_site_fract_y
_atom_site_fract_z
_atom_site_occupancy
Al1 Al 0.0000 0.0000 0.0000 1
Si1 Si 0.0000 0.0000 0.5000 1
C1 C 0.2500 0.2500 0.2500 1
# Magnetic moment (Bohr magnetons per cell): 0.00
# Energy relative to the elements, uncorrected (eV per atom): 1.5233


No. 5
# GGA-PBEsol Al2SnC, relaxed
data_Al2SnC
_chemical_formula_sum 'Al8 Sn4 C4'
_cell_length_a 5.6578
_cell_length_b 5.6578
_cell_length_c 9.2165
_cell_angle_alpha 90.00
_cell_angle_beta 90.00
_cell_angle_gamma 90.00
_symmetry_space_group_name_H-M 'I -4 2 d'
_symmetry_Int_Tables_number 122
_symmetry_space_group_name_Hall 'I -4 2bw'
loop_
_atom_site_label
_atom_site_type_symbol
_atom_site_fract_x
_atom_site_fract_y
_atom_site_fract_z
_atom_site_occupancy
Al1 Al 0.1251 0.7500 0.1250 1
Sn1 Sn 0.0000 0.0000 0.5000 1
C1 C 0.0000 0.0000 0.0000 1
# Magnetic moment (Bohr magnetons per cell): 0.00
# ΔE_f (eV per atom): 0.2705


No. 6
# GGA-PBEsol AlSn3C, relaxed
data_AlSn3C
_chemical_formula_sum 'Al1 Sn3 C1'
_cell_length_a 4.7232
_cell_length_b 4.7232
_cell_length_c 4.7232
_cell_angle_alpha 90.00
_cell_angle_beta 90.00
_cell_angle_gamma 90.00
_symmetry_space_group_name_H-M 'P m -3 m'
_symmetry_Int_Tables_number 221
_symmetry_space_group_name_Hall '-P 4 2 3'
loop_
_atom_site_label
_atom_site_type_symbol
_atom_site_fract_x
_atom_site_fract_y
_atom_site_fract_z
_atom_site_occupancy
Al1 Al 0.0000 0.0000 0.0000 1
Sn1 Sn 0.0000 0.5000 0.5000 1
C1 C 0.5000 0.5000 0.5000 1
# Magnetic moment (Bohr magnetons per cell): 0.00
# ΔE_f (eV per atom): 0.8356


No. 7
# GGA-PBEsol Ta4AlC3, relaxed
data_Ta4AlC3
_chemical_formula_sum 'Ta8 Al2 C6'
_cell_length_a 3.0781
_cell_length_b 3.0781
_cell_length_c 24.5180
_cell_angle_alpha 90.00
_cell_angle_beta 90.00
_cell_angle_gamma 120.00
_symmetry_space_group_name_H-M 'P 63/m m c'
_symmetry_Int_Tables_number 194
_symmetry_space_group_name_Hall '-P 6c 2c'
loop_
_atom_site_label
_atom_site_type_symbol
_atom_site_fract_x
_atom_site_fract_y
_atom_site_fract_z
_atom_site_occupancy
Ta1 Ta 0.3333 0.6667 0.0547 1
Ta2 Ta 0.3333 0.6667 0.6591 1
Al1 Al 0.3333 0.6667 0.2500 1
C1 C 0.0000 0.0000 0.0000 1
C2 C 0.0000 0.0000 0.1101 1
# Magnetic moment (Bohr magnetons per cell): 0.00
# ΔE_f (eV per atom): -0.5678


No. 8
# GGA-PBEsol AlTc3C, relaxed
data_AlTc3C
_chemical_formula_sum 'Al1 Tc3 C1'
_cell_length_a 4.0152
_cell_length_b 4.0152
_cell_length_c 4.0152
_cell_angle_alpha 90.00
_cell_angle_beta 90.00
_cell_angle_gamma 90.00
_symmetry_space_group_name_H-M 'P m -3 m'
_symmetry_Int_Tables_number 221
_symmetry_space_group_name_Hall '-P 4 2 3'
loop_
_atom_site_label
_atom_site_type_symbol
_atom_site_fract_x
_atom_site_fract_y
_atom_site_fract_z
_atom_site_occupancy
Al1 Al 0.0000 0.0000 0.0000 1
Tc1 Tc 0.0000 0.5000 0.5000 1
C1 C 0.5000 0.5000 0.5000 1
# Magnetic moment (Bohr magnetons per cell): 0.00
# ΔE_f (eV per atom): -0.0408


magnetic moment of number 5 (Al2SnC)?
0.00 Bohr magnetons per cell